# K2RbInCu meta-GGA SCAN PBEsol geometry
# E_tot   -16.997 eV per atom
data_K2RbInCu
_cell_length_a 6.747
_cell_length_b 6.747
_cell_length_c 5.001
_cell_angle_alpha 90.00
_cell_angle_beta 90.00
_cell_angle_gamma 90.00
_symmetry_space_group_name_H-M 'P 4/m m m'
_symmetry_Int_Tables_number 123
_symmetry_space_group_name_Hall '-P 4 2'
loop_
_atom_site_label
_atom_site_type_symbol
_atom_site_fract_x
_atom_site_fract_y
_atom_site_fract_z
_atom_site_occupancy
K1 K 0.000 0.500 0.000 1
Rb1 Rb 0.000 0.000 0.500 1
In1 In 0.500 0.500 0.000 1
Cu1 Cu 0.500 0.500 0.500 1

# La2InCu2 meta-GGA SCAN PBEsol geometry
# E_tot   -30.411 eV per atom
data_La2InCu2
_cell_length_a 7.687
_cell_length_b 7.687
_cell_length_c 3.920
_cell_angle_alpha 90.00
_cell_angle_beta 90.00
_cell_angle_gamma 90.00
_symmetry_space_group_name_H-M 'P 4/m b m'
_symmetry_Int_Tables_number 127
_symmetry_space_group_name_Hall '-P 4 2ab'
loop_
_atom_site_label
_atom_site_type_symbol
_atom_site_fract_x
_atom_site_fract_y
_atom_site_fract_z
_atom_site_occupancy
La1 La 0.177 0.323 0.000 1
In1 In 0.000 0.000 0.500 1
Cu1 Cu 0.117 0.617 0.500 1

# LaIn2Cu9 meta-GGA SCAN PBEsol geometry
# E_tot   -20.713 eV per atom
data_LaIn2Cu9
_cell_length_a 8.409
_cell_length_b 8.409
_cell_length_c 4.933
_cell_angle_alpha 90.00
_cell_angle_beta 90.00
_cell_angle_gamma 90.00
_symmetry_space_group_name_H-M 'P 4/m b m'
_symmetry_Int_Tables_number 127
_symmetry_space_group_name_Hall '-P 4 2ab'
loop_
_atom_site_label
_atom_site_type_symbol
_atom_site_fract_x
_atom_site_fract_y
_atom_site_fract_z
_atom_site_occupancy
La1 La 0.000 0.000 0.000 1
In1 In 0.123 0.377 0.000 1
Cu1 Cu 0.000 0.500 0.500 1
Cu2 Cu 0.066 0.207 0.500 1
Cu3 Cu 0.176 0.676 0.248 1

# LaInCu2 meta-GGA SCAN PBEsol geometry
# E_tot   -26.739 eV per atom
data_LaInCu2
_cell_length_a 4.798
_cell_length_b 4.798
_cell_length_c 3.455
_cell_angle_alpha 90.00
_cell_angle_beta 90.00
_cell_angle_gamma 90.00
_symmetry_space_group_name_H-M 'P 4/m m m'
_symmetry_Int_Tables_number 123
_symmetry_space_group_name_Hall '-P 4 2'
loop_
_atom_site_label
_atom_site_type_symbol
_atom_site_fract_x
_atom_site_fract_y
_atom_site_fract_z
_atom_site_occupancy
La1 La 0.000 0.000 0.000 1
In1 In 0.500 0.500 0.000 1
Cu1 Cu 0.000 0.500 0.500 1

# LaInCu2 meta-GGA SCAN PBEsol geometry
# E_tot   -26.974 eV per atom
data_LaInCu2
_cell_length_a 4.2495
_cell_length_b 4.2495
_cell_length_c 16.1801
_cell_angle_alpha 90.00
_cell_angle_beta 90.00
_cell_angle_gamma 120.00
_symmetry_space_group_name_H-M 'R 3 m'
_symmetry_Int_Tables_number 160
_symmetry_space_group_name_Hall 'R 3 -2"'
loop_
_atom_site_label
_atom_site_type_symbol
_atom_site_fract_x
_atom_site_fract_y
_atom_site_fract_z
_atom_site_occupancy
La1 La 0.0000 0.0000 0.0000 1
In1 In 0.0000 0.0000 0.1993 1
Cu1 Cu 0.0000 0.0000 0.4648 1
Cu2 Cu 0.0000 0.0000 0.7909 1

# La2InCuS5 meta-GGA SCAN PBEsol geometry
# ΔE_f (raw)   -1667 meV per atom
data_La2InCuS5
_cell_length_a 11.475
_cell_length_b 3.925
_cell_length_c 16.577
_cell_angle_alpha 90.00
_cell_angle_beta 90.00
_cell_angle_gamma 90.00
_symmetry_space_group_name_H-M 'P n m a'
_symmetry_Int_Tables_number 62
loop_
_symmetry_equiv_pos_as_xyz
'x,y,z'
'-x,-y,-z'
'-x+1/2,-y,z+1/2'
'x+1/2,y,-z+1/2'
'x+1/2,-y+1/2,-z+1/2'
'-x+1/2,y+1/2,z+1/2'
'-x,y+1/2,-z'
'x,-y+1/2,z'
loop_
_atom_site_label
_atom_site_type_symbol
_atom_site_fract_x
_atom_site_fract_y
_atom_site_fract_z
_atom_site_occupancy
La1 La 0.019 0.250 0.178 1
La2 La 0.138 0.750 0.593 1
In1 In 0.192 0.750 0.360 1
Cu1 Cu 0.084 0.750 0.000 1
S1 S 0.016 0.250 0.695 1
S2 S 0.102 0.250 0.928 1
S3 S 0.111 0.250 0.462 1
S4 S 0.182 0.750 0.117 1
S5 S 0.240 0.750 0.771 1

V for every record listed, in sequence, given in Å³ per atom: 45.54 23.16 14.53 19.88 21.09 20.74.